Version one
Here is crystalline YPtBr2 at its relaxed geometry from the Alexandria database. Energies are from GGA-PBE.

Lattice parameters (Å, degrees): 5.641 5.641 5.641 134.94 134.94 65.62
Fractional positions:
Pt (0.500, 0.500, 0.000)
Br (0.250, 0.750, 0.500)
Br (0.000, 0.000, 0.000)
Y (0.750, 0.250, 0.500)



Version two
Here is crystalline YPtBr2 at its relaxed geometry from the Alexandria database. Energies are from GGA-PBE.

Lattice parameters (Å, degrees): 5.053 5.053 5.053 60.00 60.00 60.00
Fractional positions:
Br (0.250, 0.250, 0.250)
Br (0.000, 0.000, 0.000)
Y (0.750, 0.750, 0.750)
Pt (0.500, 0.500, 0.500)



Version three
Here is crystalline YPtBr2 at its relaxed geometry from the Alexandria database. Energies are from GGA-PBE.

Lattice parameters (Å, degrees): 8.112 8.112 8.112 30.49 30.49 30.49
Site moments in Bohr magnetons follow the coordinates.
Fractional positions:
Y (0.769, 0.769, 0.769)  0.15
Br (0.208, 0.208, 0.208)  0.15
Br (0.027, 0.027, 0.027)  0.02
Pt (0.496, 0.496, 0.496)  0.17



Out of the structures above, which one is the most stable? Solution: version three.